Record 1
Below is a relaxed structure of ErSc, with properties calculated at the GGA-PBE level.

Summary:
The energy above the lowest structure with this stoichiometry comes out at 0.00 eV per formula unit. Its crystal system is orthorhombic.

a = 3.4600 Å, b = 5.3653 Å, c = 5.9556 Å
α = 90.00°, β = 90.03°, γ = 90.00°
Fractional positions:
Er1 0.2504 0.7500 0.0873
Sc1 0.2496 0.2500 0.4175
Er2 0.7496 0.2500 0.9127
Sc2 0.7504 0.7500 0.5825



Record 2
Below is a relaxed structure of Er5Sc, with properties calculated at the GGA-PBE level.

Summary:
Its crystal system is orthorhombic.

a = 4.9034 Å, b = 4.9005 Å, c = 7.7479 Å
α = 108.44°, β = 90.00°, γ = 90.00°
Fractional positions:
Er1 0.5000 0.5000 0.0000
Er2 0.5000 0.8348 0.6695
Er3 0.0000 0.6642 0.3284
Er4 0.5000 0.1652 0.3305
Sc1 0.0000 0.0000 0.0000
Er5 0.0000 0.3358 0.6716



In order of appearance, total magnetization = 0.009 0.000 μB/cell.
In order of appearance, ΔH_f (0 K) = 0.567 0.830 kcal/mol of atoms.